# 1
Computed, not measured: LiHfAg2Sb after structural relaxation at the PBE level of DFT.

For the energy relative to the elements, uncorrected, the calculation gives 388 kJ/mol of formula units. Its total DFT energy (no corrections) is -17.7 eV per cell.

The space group is P4/mmm (No. 123) and the conventional cell measures 5.169, 5.169 and 4.657 Å, with angles of 90.00, 90.00 and 90.00 degrees. Symmetry generates all atoms from Li at (0.000, 0.000, 0.000), Hf at (0.500, 0.500, 0.000), Ag at (0.000, 0.500, 0.500) and Sb at (0.000, 0.000, 0.500).

=====

# 2
Computed, not measured: Li4Hf3AgSe8 after structural relaxation at the PBE level of DFT.

For the energy relative to the elements, uncorrected, the calculation gives -1779 kJ/mol of formula units. Its total DFT energy (no corrections) is -260.1 eV per cell.

The space group is R-3m (No. 166, hexagonal axes) and the conventional cell measures 7.7187, 7.7187 and 19.3306 Å, with angles of 90.00, 90.00 and 120.00 degrees. Symmetry generates all atoms from Li at (0.0000, 0.0000, 0.0000), Li at (0.0000, 0.5000, 0.0000), Hf at (0.0000, 0.5000, 0.5000), Ag at (0.0000, 0.0000, 0.5000), Se at (0.0000, 0.0000, 0.2485) and Se at (0.0143, 0.5072, 0.7514).

=====

# 3
Computed, not measured: LiHf2Ag2Se6 after structural relaxation at the PBE level of DFT.

For the energy relative to the elements, uncorrected, the calculation gives -921 kJ/mol of formula units. Its total DFT energy (no corrections) is -115.9 eV per cell.

The space group is C2/m (No. 12) and the conventional cell measures 6.790, 11.474 and 6.595 Å, with angles of 90.00, 95.69 and 90.00 degrees. Symmetry generates all atoms from Li at (0.000, 0.000, 0.000), Hf at (0.000, 0.325, 0.000), Ag at (0.000, 0.338, 0.500), Se at (0.151, 0.500, 0.780) and Se at (0.153, 0.166, 0.766).

=====

# 4
Computed, not measured: LiHf2AgTe after structural relaxation at the PBE level of DFT.

For the energy relative to the elements, uncorrected, the calculation gives 414 kJ/mol of formula units. Its total DFT energy (no corrections) is -23.5 eV per cell.

The space group is P4/mmm (No. 123) and the conventional cell measures 5.302, 5.302 and 5.163 Å, with angles of 90.00, 90.00 and 90.00 degrees. Symmetry generates all atoms from Li at (0.000, 0.000, 0.000), Hf at (0.000, 0.500, 0.500), Ag at (0.500, 0.500, 0.000) and Te at (0.500, 0.500, 0.500).

=====

# 5
Computed, not measured: Li2HfAgTe4 after structural relaxation at the PBE level of DFT.

For the energy relative to the elements, uncorrected, the calculation gives -477 kJ/mol of formula units. Its total DFT energy (no corrections) is -34.1 eV per cell.

The space group is P2/m (No. 10) and the conventional cell measures 7.345, 4.112 and 7.475 Å, with angles of 90.00, 111.36 and 90.00 degrees. Symmetry generates all atoms from Li at (0.000, 0.000, 0.000), Li at (0.000, 0.500, 0.500), Hf at (0.500, 0.000, 0.500), Ag at (0.500, 0.500, 0.000), Te at (0.238, 0.500, 0.274) and Te at (0.277, 0.000, 0.755).

=====

# 6
Computed, not measured: Li2Hf2AgTe6 after structural relaxation at the PBE level of DFT.

For the energy relative to the elements, uncorrected, the calculation gives -704 kJ/mol of formula units. Its total DFT energy (no corrections) is -105.5 eV per cell.

The space group is C2/m (No. 12) and the conventional cell measures 6.989, 12.556 and 7.424 Å, with angles of 90.00, 107.97 and 90.00 degrees. Symmetry generates all atoms from Li at (0.000, 0.163, 0.000), Hf at (0.000, 0.334, 0.500), Ag at (0.000, 0.000, 0.500), Te at (0.240, 0.500, 0.740) and Te at (0.247, 0.324, 0.254).